{
  "formula": "Gd2CoAg",
  "functional": "PBE-GGA",
  "state": "relaxed",
  "lattice": [[-3.6300, -1.1452, -0.6553], [-0.7370, -2.5962, -2.7631], [-0.5981, -6.8446, 3.8913]],
  "species": ["Gd", "Gd", "Co", "Ag"],
  "fractional_positions": [[0.7332, 0.7332, 0.8005], [0.2668, 0.2668, 0.1995], [0.0000, 0.0000, 0.0000], [0.5000, 0.5000, 0.5000]],
  "ef_ev_per_fu": -0.40,
  "space_group": "R-3m (166)"
}